[1]
Density functional theory data (PBE) for a relaxed AlSeBr crystal.

Properties
E_form (uncorrected) (eV/atom): -0.909
ρ (g cm⁻³): 3.2

Geometry as POSCAR:
```
AlSeBr
1.0
3.858 0.000 0.000
-0.159 7.177 0.000
-1.924 -1.062 7.006
Al Se Br
2 2 2
Cartesian
0.000 0.000 0.000
-0.157 6.405 3.533
0.000 1.049 2.123
0.004 -0.013 5.830
1.772 4.861 3.272
1.774 3.828 6.919
```

---

[2]
Density functional theory data (PBE) for a relaxed Mg2Al2HgPd5 crystal.

Properties
Energy of formation from the pure elements (eV per atom): -0.588
ρ (g cm⁻³): 8.2

Geometry as POSCAR:
```
Mg2Al2HgPd5
1.0
9.602 0.000 0.000
0.000 9.602 0.000
0.000 0.000 3.688
Mg Al Hg Pd
4 4 2 10
Cartesian
1.665 3.136 0.000
3.136 7.937 0.000
6.466 1.665 0.000
7.937 6.466 0.000
1.194 5.995 0.000
3.607 1.194 0.000
5.995 8.408 0.000
8.408 3.607 0.000
0.000 0.000 0.000
4.801 4.801 0.000
0.000 4.801 1.844
0.746 7.615 1.844
1.988 0.746 1.844
2.814 5.547 1.844
4.056 2.814 1.844
4.801 0.000 1.844
5.547 6.789 1.844
6.789 4.056 1.844
7.615 8.857 1.844
8.857 1.988 1.844
```

---

[3]
Density functional theory data (PBE) for a relaxed NaOsNO2 crystal.

Properties
E_form (uncorrected) (eV/atom): -0.643
ρ (g cm⁻³): 7.4

Geometry as POSCAR:
```
NaOsNO2
1.0
3.909 0.000 0.000
0.000 3.909 0.000
0.000 0.000 3.803
Na Os N O
1 1 1 2
Cartesian
0.000 0.000 0.000
1.955 1.955 1.901
1.955 1.955 0.000
0.000 1.955 1.901
1.955 0.000 1.901
```

---

[4]
Density functional theory data (PBE) for a relaxed ThTiFe crystal.

Properties
Energy of formation from the pure elements (eV per atom): -0.128
ρ (g cm⁻³): 9.4

Geometry as POSCAR:
```
ThTiFe
1.0
11.026 0.000 0.000
0.000 3.664 0.000
-4.393 0.000 5.886
Th Ti Fe
4 4 4
Cartesian
-0.674 0.000 1.954
1.794 1.832 3.932
4.839 1.832 1.954
7.307 0.000 3.932
1.734 1.832 0.508
-0.614 0.000 5.378
7.247 0.000 0.508
4.899 1.832 5.378
-1.481 1.832 4.116
2.601 0.000 1.770
4.032 0.000 4.116
8.114 1.832 1.770
```

---

[5]
Density functional theory data (PBE) for a relaxed SrMn2Sb2 crystal.

Properties
E_form (uncorrected) (eV/atom): -0.199
ρ (g cm⁻³): 5.2

Geometry as POSCAR:
```
SrMn2Sb2
1.0
4.548 0.000 0.000
-2.274 3.938 0.000
0.000 0.000 7.889
Sr Mn Sb
1 2 2
Cartesian
0.000 0.000 0.000
0.000 2.626 4.887
2.274 1.313 3.002
0.000 2.626 2.115
2.274 1.313 5.774
```

---

[6]
Density functional theory data (PBE) for a relaxed TeMo2Cl crystal.

Properties
E_form (uncorrected) (eV/atom): -0.092
ρ (g cm⁻³): 6.5
ΔE to the lowest computed polymorph (eV/atom): 0.000

Geometry as POSCAR:
```
TeMo2Cl
1.0
3.371 0.000 0.000
0.000 3.160 0.000
-1.661 0.000 8.531
Te Mo Cl
1 2 1
Cartesian
0.000 0.000 0.000
0.000 0.000 3.101
1.682 1.580 1.707
0.002 1.580 4.980
```

---

[7]
Density functional theory data (PBE) for a relaxed UPaTe3 crystal.

Properties
E_form (uncorrected) (eV/atom): -0.488
ρ (g cm⁻³): 7.9

Geometry as POSCAR:
```
UPaTe3
1.0
3.595 2.076 7.971
-3.595 2.076 7.971
0.000 -4.151 7.971
U Pa Te
2 2 6
Cartesian
0.000 0.000 4.039
0.000 0.000 19.875
0.000 0.000 7.931
0.000 0.000 15.982
-1.195 -2.075 9.955
-1.200 -2.072 13.958
-1.200 2.072 9.955
-1.195 2.075 13.958
2.394 0.003 9.955
2.394 -0.003 13.958
```

---

[8]
Density functional theory data (PBE) for a relaxed Be2SiO crystal.

Properties
E_form (uncorrected) (eV/atom): 0.636
ρ (g cm⁻³): 2.4
ΔE to the lowest computed polymorph (eV/atom): 1.395

Geometry as POSCAR:
```
Be2SiO
1.0
5.581 0.000 0.000
0.000 5.581 0.000
0.000 0.000 5.581
Be Si O
8 4 4
Cartesian
1.395 1.395 1.395
1.395 1.395 4.186
1.395 4.186 1.395
1.395 4.186 4.186
4.186 1.395 1.395
4.186 1.395 4.186
4.186 4.186 1.395
4.186 4.186 4.186
0.000 0.000 0.000
0.000 2.791 2.791
2.791 0.000 2.791
2.791 2.791 0.000
0.000 0.000 2.791
0.000 2.791 0.000
2.791 0.000 0.000
2.791 2.791 2.791
```

---

[9]
Density functional theory data (PBE) for a relaxed Li5InS4 crystal.

Properties
E_form (uncorrected) (eV/atom): -1.150
ρ (g cm⁻³): 2.4

Geometry as POSCAR:
```
Li5InS4
1.0
8.023 0.000 0.000
0.000 8.273 0.000
0.000 0.000 5.898
Li In S
10 2 8
Cartesian
0.082 0.323 1.475
0.082 3.814 1.475
2.006 6.205 1.245
3.929 0.323 1.475
3.929 3.814 1.475
4.094 4.459 4.423
4.094 7.950 4.423
6.017 2.068 4.653
7.941 4.459 4.423
7.941 7.950 4.423
2.006 2.068 4.500
6.017 6.205 1.398
0.082 6.205 2.708
2.006 4.154 5.839
2.006 8.255 5.839
3.929 6.205 2.708
4.094 2.068 3.190
6.017 0.018 0.059
6.017 4.119 0.059
7.941 2.068 3.190
```

---

[10]
Density functional theory data (PBE) for a relaxed SrCa2BiS crystal.

Properties
E_form (uncorrected) (eV/atom): -1.107
ρ (g cm⁻³): 4.1

Geometry as POSCAR:
```
SrCa2BiS
1.0
5.357 0.000 0.000
0.000 5.357 0.000
0.000 0.000 5.747
Sr Ca Bi S
1 2 1 1
Cartesian
0.000 0.000 0.000
0.000 2.679 2.874
2.679 0.000 2.874
2.679 2.679 0.000
0.000 0.000 2.874
```

---

[11]
Density functional theory data (PBE) for a relaxed BaNa2HgPd crystal.

Properties
Energy of formation from the pure elements (eV per atom): -0.124
ρ (g cm⁻³): 4.4
ΔE to the lowest computed polymorph (eV/atom): 0.019

Geometry as POSCAR:
```
BaNa2HgPd
1.0
5.514 0.000 0.000
0.000 5.514 0.000
0.000 0.000 6.052
Ba Na Hg Pd
1 2 1 1
Cartesian
0.000 0.000 0.000
0.000 2.757 3.026
2.757 0.000 3.026
2.757 2.757 0.000
0.000 0.000 3.026
```

---

[12]
Density functional theory data (PBE) for a relaxed KAg3Hg crystal.

Properties
Energy of formation from the pure elements (eV per atom): 0.012
ρ (g cm⁻³): 6.7
ΔE to the lowest computed polymorph (eV/atom): 0.000

Geometry as POSCAR:
```
KAg3Hg
1.0
-2.817 5.004 4.934
2.817 -5.004 4.934
2.817 5.004 -4.934
K Ag Hg
2 6 2
Cartesian
0.000 2.502 0.467
2.817 2.502 4.468
2.817 2.502 -1.812
1.408 4.853 -2.467
1.408 -0.151 2.467
-1.408 5.155 2.467
1.408 5.155 2.467
0.000 2.502 6.746
2.817 0.000 0.000
0.000 0.000 4.934
```

---

| no. | M_tot (μB per atom) |
| --- | --- |
| 1 | 0.00 |
| 2 | 0.00 |
| 3 | 0.00 |
| 4 | 0.00 |
| 5 | 1.79 |
| 6 | 0.00 |
| 7 | 1.00 |
| 8 | 0.46 |
| 9 | 0.00 |
| 10 | 0.00 |
| 11 | 0.00 |
| 12 | 0.00 |